No. 1
{
  "formula": "LiZrSc",
  "functional": "GGA-PBE",
  "state": "optimized geometry",
  "lattice": [[-7.825, 0.273, 1.571], [0.260, -2.592, 1.747], [0.960, 3.120, 4.485]],
  "species": ["Sc", "Sc", "Zr", "Zr", "Li", "Li"],
  "fractional_positions": [[0.159, 0.750, 0.084], [0.841, 0.250, 0.916], [0.848, 0.750, 0.416], [0.152, 0.250, 0.584], [0.499, 0.750, 0.743], [0.501, 0.250, 0.257]]
}

---

No. 2
{
  "formula": "LiZrSc",
  "functional": "GGA-PBE",
  "state": "optimized geometry",
  "lattice": [[4.323, 0.000, 0.000], [0.000, 4.323, 0.000], [0.000, 0.000, 6.738]],
  "species": ["Li", "Li", "Zr", "Zr", "Sc", "Sc"],
  "fractional_positions": [[0.000, 0.500, 0.243], [0.500, 0.000, 0.757], [0.500, 0.000, 0.129], [0.000, 0.500, 0.871], [0.500, 0.500, 0.500], [0.000, 0.000, 0.500]]
}

---

No. 3
{
  "formula": "Li2ZrSc2",
  "functional": "GGA-PBE",
  "state": "optimized geometry",
  "lattice": [[8.196, 0.000, 0.000], [0.000, 8.196, 0.000], [0.000, 0.000, 3.123]],
  "species": ["Zr", "Zr", "Sc", "Sc", "Sc", "Sc", "Li", "Li", "Li", "Li"],
  "fractional_positions": [[0.500, 0.500, 0.000], [0.000, 0.000, 0.000], [0.314, 0.186, 0.500], [0.186, 0.686, 0.500], [0.686, 0.814, 0.500], [0.814, 0.314, 0.500], [0.385, 0.885, 0.000], [0.115, 0.385, 0.000], [0.615, 0.115, 0.000], [0.885, 0.615, 0.000]]
}

---

No. 4
{
  "formula": "LiZrSc",
  "functional": "GGA-PBE",
  "state": "optimized geometry",
  "lattice": [[8.702, 0.000, 0.013], [0.000, 5.071, 0.000], [-0.031, 0.000, 3.155]],
  "species": ["Sc", "Sc", "Zr", "Zr", "Li", "Li"],
  "fractional_positions": [[0.761, 0.250, 0.506], [0.239, 0.750, 0.494], [0.930, 0.750, 0.989], [0.070, 0.250, 0.011], [0.584, 0.750, 0.128], [0.416, 0.250, 0.872]]
}

---

| no. | formation energy from the elements (meV/atom) |
| --- | --- |
| 1 | 122 |
| 2 | 408 |
| 3 | 260 |
| 4 | 107 |